[1]
The following is a DFT calculation (PBE) of a geometry-optimized Sm2Ge3BiPt4 structure.

Values from the calculation:
Formation energy = -0.79 eV/atom
Total magnetization = 0.000 μB/f.u.
SG = P-4m2
Crystal system = tetragonal

a b c (Å): 4.338 4.338 10.982
angles (deg): 90.00 90.00 90.00
Element x y z (fractional)
Sm  0.500  0.000  0.227
Sm  0.000  0.500  0.773
Ge  0.000  0.000  0.500
Ge  0.500  0.000  0.878
Ge  0.000  0.500  0.122
Bi  0.500  0.500  0.500
Pt  0.500  0.500  0.000
Pt  0.000  0.000  0.000
Pt  0.500  0.000  0.658
Pt  0.000  0.500  0.342


[2]
The following is a DFT calculation (PBE) of a geometry-optimized SnGe2Bi2Pt7 structure.

Values from the calculation:
Formation energy = -0.33 eV/atom
Total magnetization = 0.000 μB/f.u.
SG = C2/m
Crystal system = monoclinic

a b c (Å): 4.035 4.035 14.409
angles (deg): 84.81 84.81 89.66
Element x y z (fractional)
Sn  0.000  0.000  0.000
Ge  0.583  0.583  0.748
Ge  0.417  0.417  0.252
Bi  0.878  0.878  0.387
Bi  0.122  0.122  0.613
Pt  0.500  0.500  0.000
Pt  0.359  0.359  0.427
Pt  0.641  0.641  0.573
Pt  0.950  0.450  0.147
Pt  0.450  0.950  0.147
Pt  0.550  0.050  0.853
Pt  0.050  0.550  0.853


[3]
The following is a DFT calculation (PBE) of a geometry-optimized Sr2Ge3BiPt4 structure.

Values from the calculation:
Formation energy = -0.72 eV/atom
Total magnetization = 0.000 μB/f.u.
SG = P-4m2
Crystal system = tetragonal

a b c (Å): 4.555 4.555 10.464
angles (deg): 90.00 90.00 90.00
Element x y z (fractional)
Sr  0.500  0.000  0.239
Sr  0.000  0.500  0.761
Ge  0.000  0.000  0.500
Ge  0.500  0.000  0.886
Ge  0.000  0.500  0.114
Bi  0.500  0.500  0.500
Pt  0.500  0.500  0.000
Pt  0.000  0.000  0.000
Pt  0.500  0.000  0.649
Pt  0.000  0.500  0.351


[4]
The following is a DFT calculation (PBE) of a geometry-optimized SrGe2BiPt5 structure.

Values from the calculation:
Formation energy = -0.47 eV/atom
Total magnetization = 0.000 μB/f.u.
SG = P4/mmm
Crystal system = tetragonal

a b c (Å): 4.104 4.104 11.813
angles (deg): 90.00 90.00 90.00
Element x y z (fractional)
Sr  0.000  0.000  0.500
Ge  0.500  0.500  0.295
Ge  0.500  0.500  0.705
Bi  0.000  0.000  0.000
Pt  0.000  0.500  0.177
Pt  0.500  0.000  0.177
Pt  0.000  0.500  0.823
Pt  0.500  0.000  0.823
Pt  0.500  0.500  0.500